No. 1
{"formula": "LiCuSi3", "functional": "PBE", "state": "relaxed", "e_form_raw_mev_per_atom": 625, "vol_a3_per_cell": 96, "cell": [[4.585, 0.000, 0.000], [0.000, 4.585, 0.000], [0.000, 0.000, 4.585]], "species": ["Li", "Cu", "Si", "Si", "Si"], "fractional_positions": [[0.000, 0.000, 0.000], [0.500, 0.500, 0.500], [0.000, 0.500, 0.500], [0.500, 0.000, 0.500], [0.500, 0.500, 0.000]]}

---

No. 2
{"formula": "HoTm4Ni2", "functional": "PBE", "state": "relaxed", "delta_e_f_ev_per_fu": -1.1, "polymorph_energy_mev_per_atom": 27.0, "vol_a3_per_cell": 184, "cell": [[1.929, 1.114, 14.258], [-1.929, 1.114, 14.258], [0.000, -2.228, 14.258]], "species": ["Ho", "Tm", "Tm", "Tm", "Tm", "Ni", "Ni"], "fractional_positions": [[0.000, 0.000, 0.000], [0.200, 0.200, 0.200], [0.399, 0.399, 0.399], [0.601, 0.601, 0.601], [0.800, 0.800, 0.800], [0.100, 0.100, 0.100], [0.900, 0.900, 0.900]]}

---

No. 3
{"formula": "Ca4Ga3Sn", "functional": "PBE", "state": "relaxed", "delta_e_f_ev_per_fu": -4.2, "vol_a3_per_cell": 222, "cell": [[4.353, 0.000, 0.000], [0.000, 4.548, 0.000], [0.000, 0.000, 11.228]], "species": ["Ca", "Ca", "Ca", "Ca", "Ga", "Ga", "Ga", "Sn"], "fractional_positions": [[0.000, 0.000, 0.000], [0.000, 0.500, 0.489], [0.500, 0.000, 0.710], [0.500, 0.500, 0.216], [0.000, 0.000, 0.290], [0.500, 0.000, 0.417], [0.500, 0.500, 0.934], [0.000, 0.500, 0.780]]}

---

No. 4
{"formula": "Gd2PtS", "functional": "PBE", "state": "relaxed", "e_form_raw_mev_per_atom": -1542, "vol_a3_per_cell": 96, "cell": [[1.985, 1.146, 7.033], [-1.985, 1.146, 7.033], [0.000, -2.292, 7.033]], "species": ["Gd", "Gd", "Pt", "S"], "fractional_positions": [[0.249, 0.249, 0.249], [0.751, 0.751, 0.751], [0.500, 0.500, 0.500], [0.000, 0.000, 0.000]]}

---

No. 5
{"formula": "NaLiPmGe", "functional": "PBE", "state": "relaxed", "delta_e_f_ev_per_fu": -1.0, "vol_a3_per_cell": 92, "cell": [[0.000, 3.583, 3.583], [3.583, 0.000, 3.583], [3.583, 3.583, 0.000]], "species": ["Na", "Li", "Pm", "Ge"], "fractional_positions": [[0.000, 0.000, 0.000], [0.250, 0.250, 0.250], [0.500, 0.500, 0.500], [0.750, 0.750, 0.750]]}

---

No. 6
{"formula": "K2ZnRe", "functional": "PBE", "state": "relaxed", "delta_e_f_ev_per_fu": 5.6, "vol_a3_per_cell": 106, "cell": [[-2.653, 2.653, 3.760], [2.653, -2.653, 3.760], [2.653, 2.653, -3.760]], "species": ["K", "K", "Zn", "Re"], "fractional_positions": [[0.000, 0.000, 0.000], [0.750, 0.250, 0.500], [0.500, 0.500, 0.000], [0.250, 0.750, 0.500]]}

---

No. 7
{"formula": "BaMo2N4", "functional": "PBE", "state": "relaxed", "e_form_raw_mev_per_atom": -482, "vol_a3_per_cell": 1410, "cell": [[11.213, 0.000, 0.000], [0.000, 11.213, 0.000], [0.000, 0.000, 11.213]], "species": ["Ba", "Ba", "Ba", "Ba", "Ba", "Ba", "Ba", "Ba", "Ba", "Ba", "Ba", "Ba", "Mo", "Mo", "Mo", "Mo", "Mo", "Mo", "Mo", "Mo", "Mo", "Mo", "Mo", "Mo", "Mo", "Mo", "Mo", "Mo", "Mo", "Mo", "Mo", "Mo", "Mo", "Mo", "Mo", "Mo", "N", "N", "N", "N", "N", "N", "N", "N", "N", "N", "N", "N", "N", "N", "N", "N", "N", "N", "N", "N", "N", "N", "N", "N", "N", "N", "N", "N", "N", "N", "N", "N", "N", "N", "N", "N", "N", "N", "N", "N", "N", "N", "N", "N", "N", "N", "N", "N"], "fractional_positions": [[0.000, 0.000, 0.000], [0.000, 0.500, 0.500], [0.129, 0.629, 0.871], [0.129, 0.871, 0.371], [0.371, 0.129, 0.871], [0.371, 0.371, 0.371], [0.500, 0.000, 0.500], [0.500, 0.500, 0.000], [0.629, 0.629, 0.629], [0.629, 0.871, 0.129], [0.871, 0.129, 0.629], [0.871, 0.371, 0.129], [0.104, 0.194, 0.348], [0.104, 0.306, 0.848], [0.152, 0.604, 0.194], [0.152, 0.896, 0.694], [0.194, 0.152, 0.604], [0.194, 0.348, 0.104], [0.306, 0.652, 0.604], [0.306, 0.848, 0.104], [0.348, 0.104, 0.194], [0.348, 0.396, 0.694], [0.396, 0.694, 0.348], [0.396, 0.806, 0.848], [0.604, 0.194, 0.152], [0.604, 0.306, 0.652], [0.652, 0.604, 0.306], [0.652, 0.896, 0.806], [0.694, 0.152, 0.896], [0.694, 0.348, 0.396], [0.806, 0.652, 0.896], [0.806, 0.848, 0.396], [0.848, 0.104, 0.306], [0.848, 0.396, 0.806], [0.896, 0.694, 0.152], [0.896, 0.806, 0.652], [0.011, 0.072, 0.268], [0.011, 0.428, 0.768], [0.072, 0.232, 0.511], [0.072, 0.268, 0.011], [0.123, 0.162, 0.759], [0.123, 0.338, 0.259], [0.162, 0.741, 0.623], [0.162, 0.759, 0.123], [0.232, 0.511, 0.072], [0.232, 0.989, 0.572], [0.241, 0.623, 0.338], [0.241, 0.877, 0.838], [0.259, 0.123, 0.338], [0.259, 0.377, 0.838], [0.268, 0.011, 0.072], [0.268, 0.489, 0.572], [0.338, 0.241, 0.623], [0.338, 0.259, 0.123], [0.377, 0.662, 0.759], [0.377, 0.838, 0.259], [0.428, 0.732, 0.511], [0.428, 0.768, 0.011], [0.489, 0.572, 0.268], [0.489, 0.928, 0.768], [0.511, 0.072, 0.232], [0.511, 0.428, 0.732], [0.572, 0.232, 0.989], [0.572, 0.268, 0.489], [0.623, 0.162, 0.741], [0.623, 0.338, 0.241], [0.662, 0.741, 0.877], [0.662, 0.759, 0.377], [0.732, 0.511, 0.428], [0.732, 0.989, 0.928], [0.741, 0.623, 0.162], [0.741, 0.877, 0.662], [0.759, 0.123, 0.162], [0.759, 0.377, 0.662], [0.768, 0.011, 0.428], [0.768, 0.489, 0.928], [0.838, 0.241, 0.877], [0.838, 0.259, 0.377], [0.877, 0.662, 0.741], [0.877, 0.838, 0.241], [0.928, 0.732, 0.989], [0.928, 0.768, 0.489], [0.989, 0.572, 0.232], [0.989, 0.928, 0.732]]}

---

No. 8
{"formula": "AlReIrC2", "functional": "PBE", "state": "relaxed", "delta_e_f_ev_per_fu": 6.9, "vol_a3_per_cell": 79, "cell": [[3.897, 0.000, 0.000], [0.000, 3.897, 0.000], [0.000, 0.000, 5.220]], "species": ["Al", "Re", "Ir", "C", "C"], "fractional_positions": [[0.000, 0.000, 0.000], [0.500, 0.500, 0.500], [0.500, 0.500, 0.000], [0.000, 0.500, 0.500], [0.500, 0.000, 0.500]]}

---

No. 9
{"formula": "ErSi2Pd", "functional": "PBE", "state": "relaxed", "e_form_raw_mev_per_atom": -513, "vol_a3_per_cell": 74, "cell": [[3.232, 0.000, 0.000], [0.000, 2.999, 3.808], [0.000, -2.999, 3.808]], "species": ["Er", "Si", "Si", "Pd"], "fractional_positions": [[0.000, 0.000, 0.000], [0.500, 0.510, 0.897], [0.500, 0.897, 0.510], [0.500, 0.410, 0.410]]}

---

No. 10
{"formula": "NiPRh2", "functional": "PBE", "state": "relaxed", "delta_e_f_ev_per_fu": -1.1, "polymorph_energy_mev_per_atom": 9.0, "vol_a3_per_cell": 53, "cell": [[3.463, 0.000, 0.000], [0.000, 1.424, 5.353], [0.000, -1.424, 5.353]], "species": ["Ni", "P", "Rh", "Rh"], "fractional_positions": [[0.000, 0.000, 0.000], [0.500, 0.572, 0.572], [0.000, 0.713, 0.713], [0.500, 0.363, 0.363]]}

---

No. 11
{"formula": "ZrBW", "functional": "PBE", "state": "relaxed", "delta_e_f_ev_per_fu": -0.8, "polymorph_energy_mev_per_atom": 147.5, "vol_a3_per_cell": 90, "cell": [[4.436, 0.000, 0.000], [-1.189, 4.614, 0.000], [-0.471, -1.996, 4.404]], "species": ["Zr", "Zr", "B", "B", "W", "W"], "fractional_positions": [[0.131, 0.252, 0.353], [0.869, 0.748, 0.647], [0.073, 0.352, 0.885], [0.927, 0.648, 0.115], [0.462, 0.804, 0.142], [0.538, 0.196, 0.858]]}

---

No. 12
{"formula": "NaCa2Cu", "functional": "PBE", "state": "relaxed", "delta_e_f_ev_per_fu": 0.4, "polymorph_energy_mev_per_atom": 148.7, "vol_a3_per_cell": 113, "cell": [[0.000, 3.843, 3.843], [3.843, 0.000, 3.843], [3.843, 3.843, 0.000]], "species": ["Na", "Ca", "Ca", "Cu"], "fractional_positions": [[0.000, 0.000, 0.000], [0.250, 0.250, 0.250], [0.750, 0.750, 0.750], [0.500, 0.500, 0.500]]}

---

No. 13
{"formula": "YVCu", "functional": "PBE", "state": "relaxed", "delta_e_f_ev_per_fu": 0.2, "polymorph_energy_mev_per_atom": 0.0, "vol_a3_per_cell": 109, "cell": [[-2.375, 2.869, 4.017], [2.375, -2.869, 4.017], [2.375, 2.869, -4.017]], "species": ["Y", "Y", "V", "V", "Cu", "Cu"], "fractional_positions": [[0.363, 0.113, 0.250], [0.637, 0.887, 0.750], [0.000, 0.000, 0.500], [0.000, 0.500, 0.000], [0.000, 0.500, 0.500], [0.500, 0.500, 0.000]]}

---

No. 14
{"formula": "KZnNi2", "functional": "PBE", "state": "relaxed", "delta_e_f_ev_per_fu": 3.0, "polymorph_energy_mev_per_atom": 439.6, "vol_a3_per_cell": 65, "cell": [[4.818, 0.000, 0.000], [0.000, 4.818, 0.000], [0.000, 0.000, 2.797]], "species": ["K", "Zn", "Ni", "Ni"], "fractional_positions": [[0.000, 0.000, 0.000], [0.500, 0.500, 0.000], [0.000, 0.500, 0.500], [0.500, 0.000, 0.500]]}

---

No. 15
{"formula": "Ba2DyInO5", "functional": "PBE", "state": "relaxed", "e_form_raw_mev_per_atom": -2540, "vol_a3_per_cell": 311, "cell": [[1.811, -7.267, 0.000], [1.811, 7.267, 0.000], [0.000, 0.000, 11.817]], "species": ["Ba", "Ba", "Ba", "Ba", "Dy", "Dy", "In", "In", "O", "O", "O", "O", "O", "O", "O", "O", "O", "O"], "fractional_positions": [[0.102, 0.898, 0.500], [0.144, 0.856, 0.107], [0.856, 0.144, 0.607], [0.898, 0.102, 0.000], [0.218, 0.782, 0.827], [0.782, 0.218, 0.327], [0.476, 0.524, 0.270], [0.524, 0.476, 0.770], [0.055, 0.945, 0.856], [0.278, 0.722, 0.453], [0.317, 0.683, 0.209], [0.372, 0.628, 0.810], [0.492, 0.508, 0.598], [0.508, 0.492, 0.098], [0.628, 0.372, 0.310], [0.683, 0.317, 0.709], [0.722, 0.278, 0.953], [0.945, 0.055, 0.356]]}

---

No. 16
{"formula": "NbP3Br", "functional": "PBE", "state": "relaxed", "e_form_raw_mev_per_atom": 395, "polymorph_energy_mev_per_atom": 0.0, "vol_a3_per_cell": 114, "cell": [[4.851, 0.000, 0.000], [0.000, 4.851, 0.000], [0.000, 0.000, 4.851]], "species": ["Nb", "P", "P", "P", "Br"], "fractional_positions": [[0.000, 0.000, 0.000], [0.000, 0.000, 0.500], [0.000, 0.500, 0.000], [0.500, 0.000, 0.000], [0.500, 0.500, 0.500]]}

---

No. 17
{"formula": "Np2Ni3Ge4Rh", "functional": "PBE", "state": "relaxed", "delta_e_f_ev_per_fu": -4.1, "vol_a3_per_cell": 166, "cell": [[4.101, 0.000, 0.000], [0.000, 4.101, 0.000], [0.000, 0.000, 9.856]], "species": ["Np", "Np", "Ni", "Ni", "Ni", "Ge", "Ge", "Ge", "Ge", "Rh"], "fractional_positions": [[0.000, 0.500, 0.245], [0.500, 0.000, 0.755], [0.000, 0.500, 0.877], [0.500, 0.000, 0.123], [0.500, 0.500, 0.500], [0.000, 0.000, 0.000], [0.000, 0.500, 0.640], [0.500, 0.000, 0.360], [0.500, 0.500, 0.000], [0.000, 0.000, 0.500]]}

---

No. 18
{"formula": "Tb2Pr2Cd15", "functional": "PBE", "state": "relaxed", "delta_e_f_ev_per_fu": -2.8, "vol_a3_per_cell": 469, "cell": [[5.085, 2.936, 5.232], [-5.085, 2.936, 5.232], [0.000, -5.872, 5.232]], "species": ["Tb", "Tb", "Pr", "Pr", "Cd", "Cd", "Cd", "Cd", "Cd", "Cd", "Cd", "Cd", "Cd", "Cd", "Cd", "Cd", "Cd", "Cd", "Cd"], "fractional_positions": [[0.097, 0.097, 0.097], [0.903, 0.903, 0.903], [0.332, 0.332, 0.332], [0.668, 0.668, 0.668], [0.000, 0.000, 0.500], [0.000, 0.293, 0.707], [0.000, 0.500, 0.000], [0.000, 0.707, 0.293], [0.152, 0.632, 0.632], [0.293, 0.000, 0.707], [0.293, 0.707, 0.000], [0.368, 0.368, 0.848], [0.368, 0.848, 0.368], [0.500, 0.000, 0.000], [0.632, 0.152, 0.632], [0.632, 0.632, 0.152], [0.707, 0.000, 0.293], [0.707, 0.293, 0.000], [0.848, 0.368, 0.368]]}

---

No. 19
{"formula": "Bi2PtS", "functional": "PBE", "state": "relaxed", "e_form_raw_mev_per_atom": -24, "vol_a3_per_cell": 255, "cell": [[-3.140, 3.140, 6.476], [3.140, -3.140, 6.476], [3.140, 3.140, -6.476]], "species": ["Bi", "Bi", "Bi", "Bi", "Pt", "Pt", "S", "S"], "fractional_positions": [[0.105, 0.625, 0.980], [0.375, 0.355, 0.480], [0.645, 0.125, 0.020], [0.875, 0.895, 0.520], [0.000, 0.000, 0.000], [0.750, 0.250, 0.500], [0.250, 0.750, 0.500], [0.500, 0.500, 0.000]]}

---

No. 20
{"formula": "Ta3Fe2Ru", "functional": "PBE", "state": "relaxed", "delta_e_f_ev_per_fu": -1.4, "vol_a3_per_cell": 90, "cell": [[3.099, 0.000, 0.000], [0.000, 3.099, 0.000], [0.000, 0.000, 9.377]], "species": ["Ta", "Ta", "Ta", "Fe", "Fe", "Ru"], "fractional_positions": [[0.000, 0.000, 0.000], [0.000, 0.000, 0.322], [0.000, 0.000, 0.678], [0.500, 0.500, 0.167], [0.500, 0.500, 0.833], [0.500, 0.500, 0.500]]}

---

Number 1: total magnetization 0.00 μB/f.u.. Number 2: total magnetization 0.00 μB/f.u.. Number 3: total magnetization 0.00 μB/f.u.. Number 4: total magnetization 14.36 μB/f.u.. Number 5: total magnetization 0.00 μB/f.u.. Number 6: total magnetization 2.94 μB/f.u.. Number 7: total magnetization 0.00 μB/f.u.. Number 8: total magnetization 0.00 μB/f.u.. Number 9: total magnetization 0.00 μB/f.u.. Number 10: total magnetization 0.00 μB/f.u.. Number 11: total magnetization 0.00 μB/f.u.. Number 12: total magnetization 0.00 μB/f.u.. Number 13: total magnetization 0.80 μB/f.u.. Number 14: total magnetization 0.00 μB/f.u.. Number 15: total magnetization 0.00 μB/f.u.. Number 16: total magnetization 0.00 μB/f.u.. Number 17: total magnetization 8.18 μB/f.u.. Number 18: total magnetization 0.00 μB/f.u.. Number 19: total magnetization 0.00 μB/f.u.. Number 20: total magnetization 2.32 μB/f.u..